Crystalline TeMoOs3 at its relaxed geometry. Source: Alexandria, functional PBEsol.

## Properties
Magnetic moment: 2.7 μB per cell
Theoretical density: 12.72 g cm⁻³
Symmetry: Pm-3m, No. 221
Uncorrected energy: -37.9 eV/cell
E_form (uncorrected): 2.812 eV/atom

Unit cell a=4.6983 b=4.6983 c=4.6983 alpha=90.00 beta=90.00 gamma=90.00
With the nearest neighbours (Å) after each atom.
Fractional positions:
Te (0.0000, 0.0000, 0.0000)  6 Os 2.35
Mo (0.5000, 0.5000, 0.5000)  12 Os 3.32
Os (0.0000, 0.0000, 0.5000)  2 Te 2.35
Os (0.0000, 0.5000, 0.0000)  2 Te 2.35
Os (0.5000, 0.0000, 0.0000)  2 Te 2.35

***

Crystalline TaGePS2 at its relaxed geometry. Source: Alexandria, functional PBEsol.

## Properties
Magnetic moment: 0.0 μB per cell
Theoretical density: 5.39 g cm⁻³
Symmetry: P4/mmm, No. 123
Uncorrected energy: -31.8 eV/cell
E_form (uncorrected): 0.059 eV/atom

Unit cell a=4.6726 b=4.6726 c=4.9229 alpha=90.00 beta=90.00 gamma=90.00
With the nearest neighbours (Å) after each atom.
Fractional positions:
Ta (0.0000, 0.0000, 0.0000)  4 S 2.34, 2 P 2.46
Ge (0.5000, 0.5000, 0.5000)  4 P 3.30, 8 S 3.39
P (0.0000, 0.0000, 0.5000)  2 Ta 2.46
S (0.0000, 0.5000, 0.0000)  2 Ta 2.34
S (0.5000, 0.0000, 0.0000)  2 Ta 2.34

***

Crystalline Y2IrPb at its relaxed geometry. Source: Alexandria, functional PBEsol.

## Properties
Magnetic moment: 0.0 μB per cell
Theoretical density: 10.30 g cm⁻³
Symmetry: P4/mmm, No. 123
Uncorrected energy: -30.2 eV/cell
ΔH_f (0 K): -676 meV per atom

Unit cell a=3.4265 b=3.4265 c=7.9286 alpha=90.00 beta=90.00 gamma=90.00
With the nearest neighbours (Å) after each atom.
Fractional positions:
Y (0.0000, 0.0000, 0.2084)  4 Ir 2.93
Y (0.0000, 0.0000, 0.7916)  4 Ir 2.93
Ir (0.5000, 0.5000, 0.0000)  8 Y 2.93
Pb (0.5000, 0.5000, 0.5000)  8 Y 3.35, 4 Pb 3.43

***

Crystalline Mg2ScAg at its relaxed geometry. Source: Alexandria, functional PBEsol.

## Properties
Magnetic moment: 0.2 μB per cell
Theoretical density: 4.11 g cm⁻³
Symmetry: P4/mmm, No. 123
Uncorrected energy: -13.8 eV/cell
ΔH_f (0 K): -119 meV per atom

Unit cell a=3.2387 b=3.2387 c=7.7552 alpha=90.00 beta=90.00 gamma=90.00
With the nearest neighbours (Å) after each atom.
Fractional positions:
Mg (0.0000, 0.0000, 0.2153)  4 Ag 2.83
Mg (0.0000, 0.0000, 0.7847)  4 Ag 2.83
Sc (0.5000, 0.5000, 0.5000)  8 Mg 3.18, 4 Sc 3.24
Ag (0.5000, 0.5000, 0.0000)  8 Mg 2.83

***

Crystalline CsBi2 at its relaxed geometry. Source: Alexandria, functional PBEsol.

## Properties
Magnetic moment: 0.0 μB per cell
Theoretical density: 8.17 g cm⁻³
Symmetry: Fd-3m, No. 227
Uncorrected energy: -21.2 eV/cell
ΔH_f (0 K): -355 meV per atom

Unit cell a=6.8168 b=6.8168 c=6.8168 alpha=60.00 beta=60.00 gamma=60.00
With the nearest neighbours (Å) after each atom.
Fractional positions:
Cs (0.1250, 0.1250, 0.1250)  12 Bi 4.00, 4 Cs 4.17
Cs (0.8750, 0.8750, 0.8750)  12 Bi 4.00, 4 Cs 4.17
Bi (0.0000, 0.5000, 0.5000)  6 Bi 3.41
Bi (0.5000, 0.0000, 0.5000)  6 Bi 3.41
Bi (0.5000, 0.5000, 0.0000)  6 Bi 3.41
Bi (0.5000, 0.5000, 0.5000)  6 Bi 3.41

***

Crystalline AlSbRh2 at its relaxed geometry. Source: Alexandria, functional PBEsol.

## Properties
Magnetic moment: 0.0 μB per cell
Theoretical density: 8.78 g cm⁻³
Symmetry: R3m, No. 160
Uncorrected energy: -25.1 eV/cell
E_form (uncorrected): -0.051 eV/atom

Unit cell a=8.3222 b=8.3222 c=8.3222 alpha=21.37 beta=21.37 gamma=21.37
With the nearest neighbours (Å) after each atom.
Fractional positions:
Al (0.0000, 0.0000, 0.0000)  3 Rh 2.43
Sb (0.7673, 0.7673, 0.7673)  3 Rh 2.59
Rh (0.2657, 0.2657, 0.2657)  3 Al 2.43
Rh (0.5112, 0.5112, 0.5112)  3 Sb 2.59, 3 Rh 2.79

***

Crystalline SrCa2Cd2 at its relaxed geometry. Source: Alexandria, functional PBEsol.

## Properties
Magnetic moment: 0.0 μB per cell
Theoretical density: 3.88 g cm⁻³
Symmetry: I4/mmm, No. 139
Uncorrected energy: -9.5 eV/cell
ΔH_f (0 K): -192 meV per atom

Unit cell a=7.7648 b=7.7648 c=7.7648 alpha=143.05 beta=143.05 gamma=53.25
With the nearest neighbours (Å) after each atom.
Fractional positions:
Sr (0.0000, 0.0000, 0.0000)  8 Cd 3.75
Ca (0.2500, 0.7500, 0.5000)  4 Cd 3.22, 4 Ca 3.48
Ca (0.7500, 0.2500, 0.5000)  4 Cd 3.22, 4 Ca 3.48
Cd (0.3996, 0.3996, 0.0000)  1 Cd 2.79
Cd (0.6004, 0.6004, 0.0000)  1 Cd 2.79

***

Crystalline BaIn2NiBr at its relaxed geometry. Source: Alexandria, functional PBEsol.

## Properties
Magnetic moment: 0.0 μB per cell
Theoretical density: 4.02 g cm⁻³
Symmetry: P4/mmm, No. 123
Uncorrected energy: -11.7 eV/cell
E_form (uncorrected): 0.890 eV/atom

Unit cell a=6.5262 b=6.5262 c=4.9081 alpha=90.00 beta=90.00 gamma=90.00
With the nearest neighbours (Å) after each atom.
Fractional positions:
Ba (0.0000, 0.0000, 0.0000)  2 Ni 2.45
In (0.0000, 0.5000, 0.0000)  2 Ba 3.26
In (0.5000, 0.0000, 0.0000)  2 Ba 3.26
Ni (0.0000, 0.0000, 0.5000)  2 Ba 2.45
Br (0.5000, 0.5000, 0.5000)  8 In 4.08